# 1
Here is Ta2AsIr after structural relaxation from Alexandria. Energies are from PBE.

Cell and atoms, written as extended XYZ:
```
4
Lattice="1.491 0.861 9.013 -1.491 0.861 9.013 0.000 -1.722 9.013" Properties=species:S:1:pos:R:3 pbc="T T T"
Ta 0.000 0.000 0.000
Ta 0.000 0.000 6.583
As 0.000 0.000 13.414
Ir 0.000 0.000 20.068
```

Values from the calculation:
SG: R3m (160)
energy of formation: -25 meV/atom
DFT total energy: -0.6857 Ry per atom


# 2
Here is Ta4AsIr after structural relaxation from Alexandria. Energies are from PBE.

Cell and atoms, written as extended XYZ:
```
6
Lattice="0.000 3.809 3.809 3.809 0.000 3.809 3.809 3.809 0.000" Properties=species:S:1:pos:R:3 pbc="T T T"
Ta 0.950 0.950 0.950
Ta 2.858 2.858 0.950
Ta 2.858 0.950 2.858
Ta 0.950 2.858 2.858
As 5.713 5.713 5.713
Ir 3.809 3.809 3.809
```

Values from the calculation:
SG: F-43m (216)
energy of formation: 468 meV/atom
DFT total energy: -0.7119 Ry per atom


# 3
Here is TaAsIr2 after structural relaxation from Alexandria. Energies are from PBE.

Cell and atoms, written as extended XYZ:
```
4
Lattice="1.452 0.838 8.654 -1.452 0.838 8.654 0.000 -1.677 8.654" Properties=species:S:1:pos:R:3 pbc="T T T"
Ta 0.000 0.000 0.000
As 0.000 0.000 12.981
Ir 0.000 0.000 6.422
Ir 0.000 0.000 19.540
```

Values from the calculation:
SG: R-3m (166)
energy of formation: -143 meV/atom
DFT total energy: -0.6394 Ry per atom


# 4
Here is TaAsIr2 after structural relaxation from Alexandria. Energies are from PBE.

Cell and atoms, written as extended XYZ:
```
4
Lattice="4.744 0.000 0.000 0.000 4.744 0.000 0.000 0.000 2.890" Properties=species:S:1:pos:R:3 pbc="T T T"
Ta 0.000 0.000 0.000
As 2.372 2.372 0.000
Ir 0.000 2.372 1.445
Ir 2.372 0.000 1.445
```

Values from the calculation:
SG: P4/mmm (123)
energy of formation: 13 meV/atom
DFT total energy: -0.6279 Ry per atom


# 5
Here is Ta2AsIr after structural relaxation from Alexandria. Energies are from PBE.

Cell and atoms, written as extended XYZ:
```
4
Lattice="3.379 0.000 0.000 0.000 3.379 0.000 0.000 0.000 5.996" Properties=species:S:1:pos:R:3 pbc="T T T"
Ta 0.000 0.000 0.000
Ta 1.690 1.690 1.886
As 0.000 0.000 3.052
Ir 1.690 1.690 4.849
```

Values from the calculation:
SG: P4mm (99)
energy of formation: -285 meV/atom
DFT total energy: -0.7048 Ry per atom


# 6
Here is TaAsIr2 after structural relaxation from Alexandria. Energies are from PBE.

Cell and atoms, written as extended XYZ:
```
4
Lattice="-1.521 2.273 4.518 1.521 -2.273 4.518 1.521 2.273 -4.518" Properties=species:S:1:pos:R:3 pbc="T T T"
Ta 0.000 0.000 0.000
As 1.521 0.000 2.151
Ir 0.000 0.000 4.051
Ir 0.000 2.273 2.073
```

Values from the calculation:
SG: Imm2 (44)
energy of formation: -230 meV/atom
DFT total energy: -0.6458 Ry per atom


> energy of formation of number 1 (Ta2AsIr)?

-25 meV/atom